A plane-wave DFT calculation with GGA-PBE was carried out for crystalline PrNdTm2Bi4 at its relaxed geometry.

a = 7.834 Å, b = 4.538 Å, c = 7.854 Å
α = 90.00°, β = 109.52°, γ = 90.00°
Space group P2/m (No. 10)
Inequivalent atoms, fractional coordinates:
Pr: 0.000 0.000 0.000
Nd: 0.000 0.500 0.500
Tm: 0.500 0.000 0.500
Tm: 0.500 0.500 0.000
Bi: 0.263 0.000 0.753
Bi: 0.263 0.500 0.255

ΔE_f in meV per atom: -863